DFT (PBE) results for TbPr7Tm12 after structural relaxation.

The structure belongs to space group Im-3m (No. 229); the cell edges are 11.245, 11.245 and 11.245 Å and the angles 90.00°, 90.00° and 90.00°. The asymmetric unit holds Tb at (0.000, 0.000, 0.000), Pr at (0.000, 0.000, 0.500), Pr at (0.250, 0.250, 0.250) and Tm at (0.000, 0.246, 0.246).

The value obtained for the total DFT energy (no corrections) is -3.936 eV/atom. The energy relative to the elements comes out at 0.65 eV per atom. Its distance to the lowest polymorph of the same formula is 40.9 kJ per mole of atoms.